{
  "formula": "Ag2PtAu6",
  "functional": "PBE",
  "state": "optimized geometry",
  "e_tot_ev_per_atom": -3.474,
  "dos_at_fermi_per_ev_atom": 0.293,
  "polymorph_energy_ev_per_atom": 0.027,
  "formation_enthalpy_0k_ev_per_atom": 0.016,
  "lattice": [[4.419, -2.455, 0.000], [4.419, 2.455, 0.000], [-1.502, 0.000, 7.397]],
  "species": ["Ag", "Ag", "Pt", "Au", "Au", "Au", "Au", "Au", "Au"],
  "frac_coords": [[0.222, 0.222, 0.334], [0.778, 0.778, 0.666], [0.000, 0.000, 0.000], [0.108, 0.108, 0.669], [0.333, 0.333, 0.998], [0.445, 0.445, 0.666], [0.555, 0.555, 0.334], [0.667, 0.667, 0.002], [0.892, 0.892, 0.331]]
}